<w>
Density functional theory data (GGA-PBE) for BaTlAuS2 after structural relaxation.

Cell and atoms, written as CIF:
```
data_BaTlAuS2
_chemical_formula_sum 'Ba2 Tl2 Au2 S4'
_symmetry_space_group_name_H-M 'P 1 2/c 1'
_symmetry_Int_Tables_number 13
_cell_length_a 6.916
_cell_length_b 5.929
_cell_length_c 8.722
_cell_angle_alpha 90.00
_cell_angle_beta 102.93
_cell_angle_gamma 90.00
loop_
_symmetry_equiv_pos_as_xyz
'x,y,z'
'-x,-y,-z'
'-x,y,-z+1/2'
'x,-y,z+1/2'
loop_
_atom_site_label
_atom_site_fract_x
_atom_site_fract_y
_atom_site_fract_z
_atom_site_occupancy
Ba1 0.000 0.008 0.250 1
Tl1 0.500 0.410 0.750 1
Au1 0.000 0.500 0.000 1
S1 0.258 0.239 0.041 1
```

calculated density: 5.7 Mg/m³
V: 34.9 Å³/atom

<x>
Density functional theory data (GGA-PBE) for BaTlAuS2 after structural relaxation.

Cell and atoms, written as CIF:
```
data_BaTlAuS2
_chemical_formula_sum 'Ba1 Tl1 Au1 S2'
_symmetry_space_group_name_H-M 'P 4/m m m'
_symmetry_Int_Tables_number 123
_symmetry_space_group_name_Hall '-P 4 2'
_cell_length_a 5.701
_cell_length_b 5.701
_cell_length_c 12.030
_cell_angle_alpha 90.00
_cell_angle_beta 90.00
_cell_angle_gamma 90.00
loop_
_atom_site_label
_atom_site_fract_x
_atom_site_fract_y
_atom_site_fract_z
_atom_site_occupancy
Ba1 0.000 0.000 0.000 1
Tl1 0.000 0.000 0.500 1
Au1 0.500 0.500 0.500 1
S1 0.000 0.500 0.000 1
```

calculated density: 2.6 Mg/m³
V: 78.2 Å³/atom

Q: Which of them is the least stable? A: <x>.

<w>
Density functional theory data (GGA-PBE) for BaSbAu3 after structural relaxation.

Cell and atoms, written as CIF:
```
data_BaSbAu3
_chemical_formula_sum 'Ba4 Sb4 Au12'
_symmetry_space_group_name_H-M 'I m m a'
_symmetry_Int_Tables_number 74
_symmetry_space_group_name_Hall '-I 2b 2'
_cell_length_a 6.671
_cell_length_b 10.904
_cell_length_c 7.934
_cell_angle_alpha 90.00
_cell_angle_beta 90.00
_cell_angle_gamma 90.00
loop_
_atom_site_label
_atom_site_fract_x
_atom_site_fract_y
_atom_site_fract_z
_atom_site_occupancy
Ba1 0.000 0.250 0.075 1
Sb1 0.000 0.000 0.500 1
Au1 0.000 0.250 0.511 1
Au2 0.250 0.100 0.750 1
```

calculated density: 9.8 Mg/m³
V: 28.9 Å³/atom

<x>
Density functional theory data (GGA-PBE) for BaSbAu3 after structural relaxation.

Cell and atoms, written as CIF:
```
data_BaSbAu3
_chemical_formula_sum 'Ba1 Sb1 Au3'
_symmetry_space_group_name_H-M 'P m -3 m'
_symmetry_Int_Tables_number 221
_symmetry_space_group_name_Hall '-P 4 2 3'
_cell_length_a 5.962
_cell_length_b 5.962
_cell_length_c 5.962
_cell_angle_alpha 90.00
_cell_angle_beta 90.00
_cell_angle_gamma 90.00
loop_
_atom_site_label
_atom_site_fract_x
_atom_site_fract_y
_atom_site_fract_z
_atom_site_occupancy
Ba1 0.000 0.000 0.000 1
Sb1 0.500 0.500 0.500 1
Au1 0.000 0.000 0.500 1
```

calculated density: 6.7 Mg/m³
V: 42.4 Å³/atom

Q: Which of them is the least stable? A: <x>.

<w>
Density functional theory data (GGA-PBE) for BaSbAu3 after structural relaxation.

Cell and atoms, written as CIF:
```
data_BaSbAu3
_chemical_formula_sum 'Ba1 Sb1 Au3'
_symmetry_space_group_name_H-M 'P m -3 m'
_symmetry_Int_Tables_number 221
_symmetry_space_group_name_Hall '-P 4 2 3'
_cell_length_a 5.338
_cell_length_b 5.338
_cell_length_c 5.338
_cell_angle_alpha 90.00
_cell_angle_beta 90.00
_cell_angle_gamma 90.00
loop_
_atom_site_label
_atom_site_fract_x
_atom_site_fract_y
_atom_site_fract_z
_atom_site_occupancy
Ba1 0.000 0.000 0.000 1
Sb1 0.500 0.500 0.500 1
Au1 0.000 0.500 0.500 1
```

calculated density: 9.3 Mg/m³
V: 30.4 Å³/atom

<x>
Density functional theory data (GGA-PBE) for BaSbAu3 after structural relaxation.

Cell and atoms, written as CIF:
```
data_BaSbAu3
_chemical_formula_sum 'Ba4 Sb4 Au12'
_symmetry_space_group_name_H-M 'C m c m'
_symmetry_Int_Tables_number 63
_symmetry_space_group_name_Hall '-C 2c 2'
_cell_length_a 6.757
_cell_length_b 10.869
_cell_length_c 7.177
_cell_angle_alpha 90.00
_cell_angle_beta 90.00
_cell_angle_gamma 90.00
loop_
_atom_site_label
_atom_site_fract_x
_atom_site_fract_y
_atom_site_fract_z
_atom_site_occupancy
Ba1 0.000 0.249 0.250 1
Sb1 0.000 0.099 0.750 1
Au1 0.000 0.344 0.750 1
Au2 0.212 0.500 0.000 1
```

calculated density: 10.7 Mg/m³
V: 26.4 Å³/atom

Q: Which of them is the least stable? A: <w>.

<w>
Density functional theory data (GGA-PBE) for Ba2Sb3Au5 after structural relaxation.

Cell and atoms, written as CIF:
```
data_Ba2Sb3Au5
_chemical_formula_sum 'Ba2 Sb3 Au5'
_symmetry_space_group_name_H-M 'P -4 m 2'
_symmetry_Int_Tables_number 115
_cell_length_a 5.256
_cell_length_b 5.256
_cell_length_c 10.226
_cell_angle_alpha 90.00
_cell_angle_beta 90.00
_cell_angle_gamma 90.00
loop_
_symmetry_equiv_pos_as_xyz
'x,y,z'
'y,-x,-z'
'-x,-y,z'
'-y,x,-z'
'-x,y,z'
'-y,-x,-z'
'x,-y,z'
'y,x,-z'
loop_
_atom_site_label
_atom_site_fract_x
_atom_site_fract_y
_atom_site_fract_z
_atom_site_occupancy
Ba1 0.000 0.500 0.230 1
Sb1 0.000 0.500 0.627 1
Sb2 0.500 0.500 0.500 1
Au1 0.000 0.000 0.000 1
Au2 0.000 0.000 0.500 1
Au3 0.000 0.500 0.893 1
Au4 0.500 0.500 0.000 1
```

calculated density: 9.6 Mg/m³
V: 28.2 Å³/atom

<x>
Density functional theory data (GGA-PBE) for Ba2Sb3Au5 after structural relaxation.

Cell and atoms, written as CIF:
```
data_Ba2Sb3Au5
_chemical_formula_sum 'Ba8 Sb12 Au20'
_symmetry_space_group_name_H-M 'I b a m'
_symmetry_Int_Tables_number 72
_symmetry_space_group_name_Hall '-I 2 2c'
_cell_length_a 11.162
_cell_length_b 13.681
_cell_length_c 7.017
_cell_angle_alpha 90.00
_cell_angle_beta 90.00
_cell_angle_gamma 90.00
loop_
_atom_site_label
_atom_site_fract_x
_atom_site_fract_y
_atom_site_fract_z
_atom_site_occupancy
Ba1 0.239 0.128 0.000 1
Sb1 0.000 0.500 0.250 1
Sb2 0.121 0.131 0.500 1
Au1 0.000 0.000 0.250 1
Au2 0.000 0.260 0.250 1
Au3 0.137 0.383 0.000 1
```

calculated density: 10.1 Mg/m³
V: 26.8 Å³/atom

Q: Which of them is the least stable? A: <w>.